(1)
First-principles (GGA-PBEsol) data for a relaxed structure of La2HgRu, as listed in the Alexandria database.

Structure (POSCAR):
```
La2HgRu
1.0
3.553 0.000 0.000
0.000 3.553 0.000
0.000 0.000 7.833
La Hg Ru
2 1 1
Cartesian
0.000 0.000 1.692 La
0.000 0.000 6.141 La
1.776 1.776 3.917 Hg
1.776 1.776 0.000 Ru
```

Results
E_tot in eV/atom: -5.67
Energy of formation from the pure elements in eV/atom: -0.3134
SG: P4/mmm, No. 123
Total magnetization in μB per formula unit: 0.00

=====

(2)
First-principles (GGA-PBEsol) data for a relaxed structure of Be2Nb2Cu, as listed in the Alexandria database.

Structure (POSCAR):
```
Be2Nb2Cu
1.0
5.922 0.000 0.000
0.000 5.922 0.000
0.000 0.000 3.610
Be Nb Cu
4 4 2
Cartesian
0.766 2.195 0.000 Be
2.195 5.156 0.000 Be
3.727 0.766 0.000 Be
5.156 3.727 0.000 Be
1.005 3.966 1.805 Nb
1.956 1.005 1.805 Nb
3.966 4.916 1.805 Nb
4.916 1.956 1.805 Nb
0.000 0.000 0.000 Cu
2.961 2.961 0.000 Cu
```

Results
E_tot in eV/atom: -6.88
Energy of formation from the pure elements in eV/atom: -0.0870
SG: P4/mbm, No. 127
Total magnetization in μB per formula unit: 0.00

=====

What did the first record say?
First-principles (GGA-PBEsol) data for a relaxed structure of La2HgRu, as listed in the Alexandria database.

Structure (POSCAR):
```
La2HgRu
1.0
3.553 0.000 0.000
0.000 3.553 0.000
0.000 0.000 7.833
La Hg Ru
2 1 1
Cartesian
0.000 0.000 1.692 La
0.000 0.000 6.141 La
1.776 1.776 3.917 Hg
1.776 1.776 0.000 Ru
```

Results
E_tot in eV/atom: -5.67
Energy of formation from the pure elements in eV/atom: -0.3134
SG: P4/mmm, No. 123
Total magnetization in μB per formula unit: 0.00